No. 1
Entry from Alexandria via LeMat-Bulk: an optimized crystal structure of Ac4IrPb3 (PBE).

It has space group Pmm2 (No. 25), with a = 4.759 Å, b = 4.835 Å, c = 12.063 Å, α = 90.00°, β = 90.00° and γ = 90.00°. The asymmetric unit holds Ac at (0.000, 0.000, 0.000), Ac at (0.000, 0.500, 0.242), Ac at (0.500, 0.000, 0.435), Ac at (0.500, 0.500, 0.750), Ir at (0.500, 0.000, 0.186), Pb at (0.000, 0.000, 0.701), Pb at (0.000, 0.500, 0.521) and Pb at (0.500, 0.500, 0.035).

For the energy relative to the elements, the calculation gives -0.480 eV per atom. The value obtained for the total magnetization is 0.00 μB per formula unit. The calculation puts the raw total energy at -5.03 eV/atom.

No. 2
Entry from Alexandria via LeMat-Bulk: an optimized crystal structure of Tc2SbAu (PBE).

It has space group C2/m (No. 12), with a = 9.124 Å, b = 3.064 Å, c = 5.186 Å, α = 90.00°, β = 106.07° and γ = 90.00°. The asymmetric unit holds Tc at (0.240, 0.000, 0.279), Sb at (0.000, 0.500, 0.000) and Au at (0.000, 0.000, 0.500).

The calculation puts the raw formation energy at 379.5 meV per atom. The value obtained for the total magnetization is 0.00 μB per formula unit. The calculation puts the raw total energy at -6.65 eV/atom.

No. 3
Entry from Alexandria via LeMat-Bulk: an optimized crystal structure of SrGdAlAu (PBE).

It has space group F-43m (No. 216), with a = 7.519 Å, b = 7.519 Å, c = 7.519 Å, α = 90.00°, β = 90.00° and γ = 90.00°. The asymmetric unit holds Sr at (0.000, 0.000, 0.000), Gd at (0.000, 0.000, 0.500), Al at (0.250, 0.250, 0.750) and Au at (0.250, 0.250, 0.250).

For the energy relative to the elements, the calculation gives -0.421 eV per atom. The value obtained for the total magnetization is 7.29 μB per formula unit. The calculation puts the raw total energy at -6.12 eV/atom.

No. 4
Entry from Alexandria via LeMat-Bulk: an optimized crystal structure of Pr4TlSeI2 (PBE).

It has space group P2/m (No. 10), with a = 7.624 Å, b = 4.457 Å, c = 8.218 Å, α = 90.00°, β = 108.80° and γ = 90.00°. The asymmetric unit holds Pr at (0.220, 0.000, 0.204), Pr at (0.244, 0.500, 0.785), Tl at (0.500, 0.000, 0.000), Se at (0.000, 0.500, 0.000), I at (0.000, 0.000, 0.500) and I at (0.500, 0.500, 0.500).

The calculation puts the raw formation energy at -1006.5 meV per atom. The value obtained for the total magnetization is 0.00 μB per formula unit. The calculation puts the raw total energy at -4.52 eV/atom.

No. 5
Entry from Alexandria via LeMat-Bulk: an optimized crystal structure of BiAsOsSe2 (PBE).

It has space group P4/mmm (No. 123), with a = 5.102 Å, b = 5.102 Å, c = 4.631 Å, α = 90.00°, β = 90.00° and γ = 90.00°. The asymmetric unit holds Bi at (0.000, 0.000, 0.000), As at (0.500, 0.500, 0.000), Os at (0.500, 0.500, 0.500) and Se at (0.000, 0.500, 0.500).

The calculation puts the raw formation energy at 493.6 meV per atom. The value obtained for the total magnetization is 0.00 μB per formula unit. The energy relative to the lowest polymorph listed for this composition is 0.000 eV/atom. The calculation puts the raw total energy at -4.85 eV/atom.

No. 6
Entry from Alexandria via LeMat-Bulk: an optimized crystal structure of CsNdAgTe2 (PBE).

It has space group P2/c (No. 13), with a = 8.863 Å, b = 4.863 Å, c = 9.179 Å, α = 90.00°, β = 91.18° and γ = 90.00°. The asymmetric unit holds Cs at (0.000, 0.021, 0.250), Nd at (0.500, 0.499, 0.750), Ag at (0.500, 0.000, 0.000) and Te at (0.264, 0.414, 0.995).

The calculation puts the raw formation energy at -845.3 meV per atom. The value obtained for the total magnetization is 0.00 μB per formula unit. The calculation puts the raw total energy at -3.80 eV/atom.

No. 7
Entry from Alexandria via LeMat-Bulk: an optimized crystal structure of Sr2CoRe (PBE).

It has space group C2/m (No. 12), with a = 9.605 Å, b = 2.881 Å, c = 6.717 Å, α = 90.00°, β = 94.27° and γ = 90.00°. The asymmetric unit holds Sr at (0.247, 0.000, 0.252), Co at (0.000, 0.000, 0.500) and Re at (0.000, 0.500, 0.000).

For the energy relative to the elements, the calculation gives 1.303 eV per atom. The value obtained for the total magnetization is 1.11 μB per formula unit. The energy relative to the lowest polymorph listed for this composition is 0.712 eV/atom. The calculation puts the raw total energy at -4.43 eV/atom.

No. 8
Entry from Alexandria via LeMat-Bulk: an optimized crystal structure of Ac2MgTcH6 (PBE).

It has space group C2/m (No. 12), with a = 7.766 Å, b = 7.766 Å, c = 5.762 Å, α = 90.00°, β = 131.94° and γ = 90.00°. The asymmetric unit holds Ac at (0.000, 0.250, 0.000), Mg at (0.000, 0.000, 0.500), Tc at (0.000, 0.500, 0.500), H at (0.000, 0.268, 0.500), H at (0.215, 0.500, 0.930) and H at (0.232, 0.500, 0.500).

The value obtained for the total magnetization is 0.00 μB per formula unit. The calculation puts the raw total energy at -4.30 eV/atom.

No. 9
Entry from Alexandria via LeMat-Bulk: an optimized crystal structure of Cu2HgW (PBE).

It has space group P4mm (No. 99), with a = 2.841 Å, b = 2.841 Å, c = 7.528 Å, α = 90.00°, β = 90.00° and γ = 90.00°. The asymmetric unit holds Cu at (0.000, 0.000, 0.000), Cu at (0.500, 0.500, 0.201), Hg at (0.000, 0.000, 0.468) and W at (0.500, 0.500, 0.770).

For the energy relative to the elements, the calculation gives 0.392 eV per atom. The value obtained for the total magnetization is 0.00 μB per formula unit. The calculation puts the raw total energy at -4.97 eV/atom.

No. 10
Entry from Alexandria via LeMat-Bulk: an optimized crystal structure of Li2HgRu (PBE).

It has space group P2/m (No. 10), with a = 2.815 Å, b = 4.554 Å, c = 4.960 Å, α = 90.00°, β = 92.65° and γ = 90.00°. The asymmetric unit holds Li at (0.234, 0.000, 0.220), Hg at (0.000, 0.500, 0.500) and Ru at (0.500, 0.500, 0.000).

For the energy relative to the elements, the calculation gives 0.111 eV per atom. The value obtained for the total magnetization is 0.28 μB per formula unit. The calculation puts the raw total energy at -3.24 eV/atom.

No. 11
Entry from Alexandria via LeMat-Bulk: an optimized crystal structure of ZrAl3Cl (PBE).

It has space group Pm-3m (No. 221), with a = 4.692 Å, b = 4.692 Å, c = 4.692 Å, α = 90.00°, β = 90.00° and γ = 90.00°. The asymmetric unit holds Zr at (0.000, 0.000, 0.000), Al at (0.000, 0.500, 0.500) and Cl at (0.500, 0.500, 0.500).

The calculation puts the raw formation energy at 421.8 meV per atom. The value obtained for the total magnetization is 0.00 μB per formula unit. The energy relative to the lowest polymorph listed for this composition is 0.000 eV/atom. The calculation puts the raw total energy at -3.90 eV/atom.

No. 12
Entry from Alexandria via LeMat-Bulk: an optimized crystal structure of Dy3ZrCu4 (PBE).

It has space group P4/mmm (No. 123), with a = 3.421 Å, b = 3.421 Å, c = 13.665 Å, α = 90.00°, β = 90.00° and γ = 90.00°. The asymmetric unit holds Dy at (0.000, 0.000, 0.000), Dy at (0.000, 0.000, 0.257), Zr at (0.000, 0.000, 0.500), Cu at (0.500, 0.500, 0.127) and Cu at (0.500, 0.500, 0.393).

For the energy relative to the elements, the calculation gives -0.201 eV per atom. The value obtained for the total magnetization is 0.64 μB per formula unit. The calculation puts the raw total energy at -5.04 eV/atom.